{
  "formula": "Pm12Ge7Pt",
  "functional": "GGA-PBE",
  "state": "optimized geometry",
  "cell": [[9.0484, -0.2717, -0.4078], [-2.7770, 8.6160, -0.4078], [-2.7770, -3.6949, 7.7942]],
  "species": ["Pm", "Pm", "Pm", "Pm", "Pm", "Pm", "Pm", "Pm", "Pm", "Pm", "Pm", "Pm", "Ge", "Ge", "Ge", "Ge", "Ge", "Ge", "Ge", "Pt"],
  "fractional_positions": [[0.8636, 0.3391, 0.7196], [0.6609, 0.2804, 0.1364], [0.3961, 0.0934, 0.3133], [0.9066, 0.6867, 0.6039], [0.2804, 0.1364, 0.6609], [0.6867, 0.6039, 0.9066], [0.3133, 0.3961, 0.0934], [0.7196, 0.8636, 0.3391], [0.0934, 0.3133, 0.3961], [0.6039, 0.9066, 0.6867], [0.3391, 0.7196, 0.8636], [0.1364, 0.6609, 0.2804], [0.0649, 0.7309, 0.9734], [0.2691, 0.0266, 0.9351], [0.0266, 0.9351, 0.2691], [0.5000, 0.5000, 0.5000], [0.9734, 0.0649, 0.7309], [0.7309, 0.9734, 0.0649], [0.9351, 0.2691, 0.0266], [0.0000, 0.0000, 0.0000]],
  "delta_e_f_ev_per_atom": -0.52
}

{
  "formula": "Tm3ThZn2",
  "functional": "GGA-PBE",
  "state": "optimized geometry",
  "cell": [[-1.7668, 1.3834, 2.7085], [1.6120, -2.2303, 2.1907], [8.8302, 8.0177, 1.6649]],
  "species": ["Tm", "Tm", "Tm", "Th", "Zn", "Zn"],
  "fractional_positions": [[0.0000, 0.0000, 0.0000], [0.0000, 0.0000, 0.7066], [0.0000, 0.0000, 0.2934], [0.5000, 0.5000, 0.5000], [0.5000, 0.5000, 0.8544], [0.5000, 0.5000, 0.1456]],
  "delta_e_f_ev_per_atom": -0.24
}

{
  "formula": "Li3Ac3GeS8",
  "functional": "GGA-PBE",
  "state": "optimized geometry",
  "cell": [[-0.1879, -6.1549, 5.7289], [6.4181, 0.5154, -5.4096], [-1.2083, 5.2565, 5.6078]],
  "species": ["Li", "Li", "Li", "Ac", "Ac", "Ac", "Ge", "S", "S", "S", "S", "S", "S", "S", "S"],
  "fractional_positions": [[0.0000, 0.0000, 0.0000], [0.0000, 0.5000, 0.0000], [0.5000, 0.5000, 0.0000], [0.5000, 0.0000, 0.5000], [0.5000, 0.5000, 0.5000], [0.0000, 0.5000, 0.5000], [0.0000, 0.0000, 0.5000], [0.2460, 0.4919, 0.2382], [0.7540, 0.5081, 0.7618], [0.7797, 0.5594, 0.2595], [0.2203, 0.4406, 0.7405], [0.7797, 0.9797, 0.2596], [0.2203, 0.0203, 0.7404], [0.2000, 0.9797, 0.2596], [0.8000, 0.0203, 0.7404]],
  "e_form_raw_ev_per_atom": -1.409
}

{
  "formula": "Hf2CuPd9",
  "functional": "GGA-PBE",
  "state": "optimized geometry",
  "cell": [[-2.8037, -0.2748, -2.8369], [-2.8252, -0.2578, 2.8171], [-1.1133, 11.7690, -0.0396]],
  "species": ["Hf", "Hf", "Cu", "Pd", "Pd", "Pd", "Pd", "Pd", "Pd", "Pd", "Pd", "Pd"],
  "fractional_positions": [[0.0000, 0.0000, 0.3251], [0.0000, 0.0000, 0.6749], [0.0000, 0.0000, 0.0000], [0.5000, 0.5000, 0.0000], [0.5000, 0.5000, 0.3327], [0.5000, 0.5000, 0.6673], [0.5000, 0.0000, 0.1637], [0.5000, 0.0000, 0.5000], [0.5000, 0.0000, 0.8363], [0.0000, 0.5000, 0.1637], [0.0000, 0.5000, 0.5000], [0.0000, 0.5000, 0.8363]],
  "delta_e_f_ev_per_atom": -0.62
}

{
  "formula": "LaCr3Rh",
  "functional": "GGA-PBE",
  "state": "optimized geometry",
  "cell": [[4.7930, 0.0000, 0.0000], [0.0000, 4.7930, 0.0000], [0.0000, 0.0000, 4.7930]],
  "species": ["Cr", "Cr", "Cr", "Rh", "La"],
  "fractional_positions": [[0.0000, 0.5000, 0.0000], [0.0000, 0.0000, 0.5000], [0.5000, 0.0000, 0.0000], [0.0000, 0.0000, 0.0000], [0.5000, 0.5000, 0.5000]],
  "de_polymorph_mev_per_atom": 0,
  "delta_e_f_ev_per_atom": 0.76
}

{
  "formula": "PuH2I2",
  "functional": "GGA-PBE",
  "state": "optimized geometry",
  "cell": [[4.3058, 0.0000, -0.0080], [2.1526, 3.7290, -0.0080], [0.0159, 0.0092, 8.4898]],
  "species": ["Pu", "H", "H", "I", "I"],
  "fractional_positions": [[0.0000, 0.0000, 0.0000], [0.3334, 0.3334, 0.5342], [0.6666, 0.6666, 0.4658], [0.3333, 0.3333, 0.2271], [0.6667, 0.6667, 0.7729]],
  "de_polymorph_mev_per_atom": 752
}

{
  "formula": "Cs2In2Hg",
  "functional": "GGA-PBE",
  "state": "optimized geometry",
  "cell": [[7.4781, -0.2626, 0.0000], [-1.9416, 7.2264, 0.0000], [0.0000, 0.0000, 9.1689]],
  "species": ["Cs", "Cs", "Cs", "Cs", "In", "In", "In", "In", "Hg", "Hg"],
  "fractional_positions": [[0.8143, 0.1857, 0.0000], [0.1857, 0.8143, 0.5000], [0.1857, 0.8143, 0.0000], [0.8143, 0.1857, 0.5000], [0.3558, 0.3558, 0.4106], [0.6442, 0.6442, 0.9106], [0.3558, 0.3558, 0.0894], [0.6442, 0.6442, 0.5894], [0.3225, 0.3225, 0.7500], [0.6775, 0.6775, 0.2500]],
  "de_polymorph_mev_per_atom": 0,
  "delta_e_f_ev_per_atom": -0.09
}

{
  "formula": "Tl3RuS",
  "functional": "GGA-PBE",
  "state": "optimized geometry",
  "cell": [[-1.8565, 2.4679, -4.2465], [-4.9099, -0.8145, 1.6731], [0.1277, 4.5624, 2.5957]],
  "species": ["Ru", "Tl", "Tl", "Tl", "S"],
  "fractional_positions": [[0.0000, 0.0000, 0.0000], [0.0000, 0.5000, 0.0000], [0.0000, 0.0000, 0.5000], [0.5000, 0.0000, 0.0000], [0.5000, 0.5000, 0.5000]],
  "de_polymorph_mev_per_atom": 0,
  "e_form_raw_ev_per_atom": 0.385
}

| no. | magnetic moment (μB per formula unit) | raw total energy (eV for the cell shown) | V (Å³ per cell) |
| --- | --- | --- | --- |
| 1 | 0.0 | -105.75 | 573.9 |
| 2 | 0.0 | -24.81 | 149.0 |
| 3 | 0.0 | -76.84 | 372.2 |
| 4 | 0.0 | -78.12 | 189.0 |
| 5 | 10.0 | -37.37 | 110.1 |
| 6 | 4.0 | -22.88 | 136.3 |
| 7 | 0.0 | -15.86 | 490.8 |
| 8 | 0.0 | -18.58 | 144.8 |